A plane-wave DFT calculation with GGA+U was carried out for an optimized crystal structure of PaFePb2O8.

## Properties
uncorrected energy	-82.0	eV per cell
calculated volume	14.1	Å³/atom

Lattice parameters (Å, degrees): 5.087 5.084 6.556 90.00 90.00 89.08
Fractional coordinates of all 12 atoms:
O 0.819 0.182 0.763
Pa 0.000 0.000 0.500
O 0.295 0.294 0.000
O 0.181 0.818 0.763
O 0.819 0.182 0.237
Pb 0.500 0.500 0.763
O 0.310 0.309 0.500
Pb 0.500 0.500 0.237
O 0.690 0.691 0.500
O 0.181 0.818 0.237
O 0.705 0.706 0.000
Fe 0.000 0.000 0.000